SnSb2TeSe | PBE | relaxed

```
data_SnSb2TeSe
_chemical_formula_sum 'Sn1 Sb2 Te1 Se1'
_space_group_name_H-M_alt 'P 4/m m m'
_space_group_IT_number 123
_space_group_name_Hall '-P 4 2'
_cell_length_a 5.4499
_cell_length_b 5.4499
_cell_length_c 5.4607
_cell_angle_alpha 90.00
_cell_angle_beta 90.00
_cell_angle_gamma 90.00
loop_
_atom_site_label
_atom_site_type_symbol
_atom_site_fract_x
_atom_site_fract_y
_atom_site_fract_z
_atom_site_occupancy
Sn1 Sn 0.0000 0.0000 0.0000 1
Sb1 Sb 0.0000 0.5000 0.5000 1
Te1 Te 0.5000 0.5000 0.0000 1
Se1 Se 0.5000 0.5000 0.5000 1
```

## Properties
* E_form (uncorrected): 0.49 eV per atom
* energy relative to the lowest polymorph listed for this composition: 0.000 eV/atom
* Fermi-level density of states: 5.6 states/eV/f.u.


BaZnP2 | PBE | relaxed

```
data_BaZnP2
_chemical_formula_sum 'Ba1 Zn1 P2'
_space_group_name_H-M_alt 'P 1 2/m 1'
_space_group_IT_number 10
_cell_length_a 3.9289
_cell_length_b 3.7172
_cell_length_c 6.3284
_cell_angle_alpha 90.00
_cell_angle_beta 96.18
_cell_angle_gamma 90.00
loop_
_space_group_symop_operation_xyz
'x,y,z'
'-x,-y,-z'
'-x,y,-z'
'x,-y,z'
loop_
_atom_site_label
_atom_site_type_symbol
_atom_site_fract_x
_atom_site_fract_y
_atom_site_fract_z
_atom_site_occupancy
Ba1 Ba 0.0000 0.0000 0.0000 1
Zn1 Zn 0.0000 0.0000 0.5000 1
P1 P 0.4008 0.5000 0.6580 1
```

## Properties
* ΔE_f: -0.28 eV/atom
* Fermi-level density of states: 1.8 states/eV/f.u.


LaTbPSe | PBE | relaxed

```
data_LaTbPSe
_chemical_formula_sum 'La3 Tb3 P3 Se3'
_space_group_name_H-M_alt 'R 3 m'
_space_group_IT_number 160
_space_group_name_Hall 'R 3 -2"'
_cell_length_a 4.1494
_cell_length_b 4.1494
_cell_length_c 20.7999
_cell_angle_alpha 90.00
_cell_angle_beta 90.00
_cell_angle_gamma 120.00
loop_
_atom_site_label
_atom_site_type_symbol
_atom_site_fract_x
_atom_site_fract_y
_atom_site_fract_z
_atom_site_occupancy
La1 La 0.0000 0.0000 0.0000 1
Tb1 Tb 0.0000 0.0000 0.5127 1
P1 P 0.0000 0.0000 0.2515 1
Se1 Se 0.0000 0.0000 0.7611 1
```

## Properties
* E_form (uncorrected): -1.82 eV per atom
* Fermi-level density of states: 1.7 states/eV/f.u.


no.,electronic total energy (eV for the cell shown),calculated density (kg/m3)
1,-16.4,5823
2,-15.1,4783
3,-77.2,6550